DFT (PBE) results for a geometry-optimized Mg3CoPt12 structure.

Computed properties:
Magnetic moment ... 2.82 μB/f.u.
Total energy ... -5.7460 eV per atom
Density of states at the Fermi level ... 15.6 states/eV/cell
Space-group type ... No. 123
Volume ... 245 Å³/cell

a b c (Å): 3.9379 3.9379 15.7969
angles (deg): 90.00 90.00 90.00
With the nearest neighbours (Å) after each atom.
Atoms (fractional coordinates):
Mg 0.0000 0.0000 0.0000  12 Pt 2.78-2.80
Mg 0.0000 0.0000 0.2515  12 Pt 2.78-2.82
Mg 0.0000 0.0000 0.7485  12 Pt 2.78-2.82
Co 0.0000 0.0000 0.5000  12 Pt 2.74-2.78
Pt 0.0000 0.5000 0.1260  8 Pt 2.78-2.81, 4 Mg 2.79-2.80
Pt 0.0000 0.5000 0.3795  2 Co 2.74, 8 Pt 2.74-2.81, 2 Mg 2.82
Pt 0.0000 0.5000 0.6205  2 Co 2.74, 8 Pt 2.74-2.81, 2 Mg 2.82
Pt 0.0000 0.5000 0.8740  8 Pt 2.78-2.81, 4 Mg 2.79-2.80
Pt 0.5000 0.0000 0.1260  8 Pt 2.78-2.81, 4 Mg 2.79-2.80
Pt 0.5000 0.0000 0.3795  2 Co 2.74, 8 Pt 2.74-2.81, 2 Mg 2.82
Pt 0.5000 0.0000 0.6205  2 Co 2.74, 8 Pt 2.74-2.81, 2 Mg 2.82
Pt 0.5000 0.0000 0.8740  8 Pt 2.78-2.81, 4 Mg 2.79-2.80
Pt 0.5000 0.5000 0.0000  4 Mg 2.78, 8 Pt 2.80
Pt 0.5000 0.5000 0.2526  4 Mg 2.78, 8 Pt 2.81
Pt 0.5000 0.5000 0.5000  8 Pt 2.74, 4 Co 2.78
Pt 0.5000 0.5000 0.7474  4 Mg 2.78, 8 Pt 2.81

***

DFT (PBE) results for a geometry-optimized Mg2CoPt structure.

Computed properties:
Magnetic moment ... 1.37 μB/f.u.
Total energy ... -4.2259 eV per atom
Density of states at the Fermi level ... 3.9 states/eV/cell
Space-group type ... No. 166
Volume ... 62 Å³/cell

a b c (Å): 8.7436 8.7436 8.7436
angles (deg): 19.06 19.06 19.06
With the nearest neighbours (Å) after each atom.
Atoms (fractional coordinates):
Mg 0.2476 0.2476 0.2476  3 Co 2.67, 3 Pt 2.77, 6 Mg 2.89
Mg 0.7524 0.7524 0.7524  3 Co 2.67, 3 Pt 2.77, 6 Mg 2.89
Co 0.5000 0.5000 0.5000  6 Mg 2.67, 6 Co 2.89
Pt 0.0000 0.0000 0.0000  6 Mg 2.77, 6 Pt 2.89

***

DFT (PBE) results for a geometry-optimized Mg2CoPt structure.

Computed properties:
Magnetic moment ... 1.69 μB/f.u.
Total energy ... -4.2488 eV per atom
Density of states at the Fermi level ... 3.9 states/eV/cell
Space-group type ... No. 99
Volume ... 65 Å³/cell

a b c (Å): 3.2413 3.2413 6.1704
angles (deg): 90.00 90.00 90.00
With the nearest neighbours (Å) after each atom.
Atoms (fractional coordinates):
Mg 0.0000 0.0000 0.0000  4 Co 2.69, 1 Pt 2.75
Mg 0.5000 0.5000 0.3215  4 Pt 2.70, 1 Co 2.77
Co 0.5000 0.5000 0.7709  4 Pt 2.65, 5 Mg 2.69-2.77
Pt 0.0000 0.0000 0.5543  4 Co 2.65, 5 Mg 2.70-2.75

***

DFT (PBE) results for a geometry-optimized Mg2CoPt structure.

Computed properties:
Magnetic moment ... 1.41 μB/f.u.
Total energy ... -4.2826 eV per atom
Density of states at the Fermi level ... 3.6 states/eV/cell
Space-group type ... No. 25
Volume ... 63 Å³/cell

a b c (Å): 2.8442 3.9403 5.5913
angles (deg): 90.00 90.00 90.00
With the nearest neighbours (Å) after each atom.
Atoms (fractional coordinates):
Mg 0.0000 0.0000 0.0000  2 Pt 2.65-2.94, 4 Co 2.72, 2 Mg 2.84
Mg 0.5000 0.5000 0.3059  2 Co 2.65-2.94, 4 Pt 2.72, 2 Mg 2.84
Co 0.5000 0.5000 0.7796  6 Mg 2.65-2.94, 4 Pt 2.81, 2 Co 2.84
Pt 0.0000 0.0000 0.5260  6 Mg 2.65-2.94, 4 Co 2.81, 2 Pt 2.84

***

DFT (PBE) results for a geometry-optimized PuMgCoPt structure.

Computed properties:
Magnetic moment ... 3.74 μB/f.u.
Total energy ... -7.5862 eV per atom
Density of states at the Fermi level ... 7.8 states/eV/cell
Space-group type ... No. 216
Volume ... 72 Å³/cell

a b c (Å): 4.6735 4.6735 4.6735
angles (deg): 60.00 60.00 60.00
With the nearest neighbours (Å) after each atom.
Atoms (fractional coordinates):
Pu 0.0000 0.0000 0.0000  4 Co 2.86, 4 Pt 2.86
Mg 0.5000 0.5000 0.5000  4 Co 2.86, 4 Pt 2.86
Co 0.7500 0.7500 0.7500  4 Mg 2.86, 4 Pu 2.86
Pt 0.2500 0.2500 0.2500  4 Mg 2.86, 4 Pu 2.86

***

DFT (PBE) results for a geometry-optimized MgCoSb2Pt structure.

Computed properties:
Magnetic moment ... 0.00 μB/f.u.
Energy relative to the elements, uncorrected ... 0.19 eV/atom
Density of states at the Fermi level ... 2.6 states/eV/cell
Space-group type ... No. 123
Volume ... 106 Å³/cell

a b c (Å): 4.7361 4.7361 4.7090
angles (deg): 90.00 90.00 90.00
With the nearest neighbours (Å) after each atom.
Atoms (fractional coordinates):
Mg 0.0000 0.0000 0.0000  2 Co 2.35
Co 0.0000 0.0000 0.5000  2 Mg 2.35, 4 Sb 2.37
Sb 0.0000 0.5000 0.5000  2 Co 2.37
Sb 0.5000 0.0000 0.5000  2 Co 2.37
Pt 0.5000 0.5000 0.0000  8 Sb 3.34, 4 Mg 3.35